VASP calculation (PBE-GGA) on a relaxed structure of Ca2ErTaN4.

```
Ca2ErTaN4
1.0
3.3107 0.0000 0.0000
0.0000 5.7863 0.1022
0.0000 -2.0104 5.5654
Er Ca N Ta
1 2 4 1
Cartesian
1.6554 2.8932 0.0511 Er
0.0000 1.8880 2.8338 Ca
1.6554 -1.0052 2.7827 Ca
1.6554 0.8437 1.2085 N
0.0000 -0.2291 4.3984 N
1.6554 2.9323 4.4591 N
0.0000 4.0050 1.2692 N
0.0000 0.0000 0.0000 Ta
```

final energy	-64.49	eV per cell
crystal system	monoclinic
SG	P2/m, No. 10
raw formation energy	-1.35	eV/atom